A relaxed Rb2PdSeO4 crystal, computed with PBE.

* raw formation energy: -800.5 meV/atom
* volume: 22.451 Å³/atom
* theoretical density: 3.886 g cm⁻³
* final energy: -4.61 eV/atom

```
data_Rb2PdSeO4
_symmetry_space_group_name_H-M 'F d d d'
_symmetry_Int_Tables_number 70
_cell_length_a 6.1514
_cell_length_b 11.9145
_cell_length_c 19.6051
_cell_angle_alpha 90.00
_cell_angle_beta 90.00
_cell_angle_gamma 90.00
loop_
_symmetry_equiv_pos_as_xyz
'x,y,z'
'-x,-y,-z'
'-x+1/4,-y+1/4,z'
'x+1/4,y+1/4,-z'
'x,-y+1/4,-z+1/4'
'-x,y+1/4,z+1/4'
'-x+1/4,y,-z+1/4'
'x+1/4,-y,z+1/4'
'x,y+1/2,z+1/2'
'-x,-y+1/2,-z+1/2'
'-x+1/4,-y+3/4,z+1/2'
'x+1/4,y+3/4,-z+1/2'
'x,-y+3/4,-z+3/4'
'-x,y+3/4,z+3/4'
'-x+1/4,y+1/2,-z+3/4'
'x+1/4,-y+1/2,z+3/4'
'x+1/2,y,z+1/2'
'-x+1/2,-y,-z+1/2'
'-x+3/4,-y+1/4,z+1/2'
'x+3/4,y+1/4,-z+1/2'
'x+1/2,-y+1/4,-z+3/4'
'-x+1/2,y+1/4,z+3/4'
'-x+3/4,y,-z+3/4'
'x+3/4,-y,z+3/4'
'x+1/2,y+1/2,z'
'-x+1/2,-y+1/2,-z'
'-x+3/4,-y+3/4,z'
'x+3/4,y+3/4,-z'
'x+1/2,-y+3/4,-z+1/4'
'-x+1/2,y+3/4,z+1/4'
'-x+3/4,y+1/2,-z+1/4'
'x+3/4,-y+1/2,z+1/4'
loop_
_atom_site_label
_atom_site_type_symbol
_atom_site_fract_x
_atom_site_fract_y
_atom_site_fract_z
Rb1 Rb 0.1250 0.1250 0.3017
Pd1 Pd 0.1250 0.1250 0.1250
Se1 Se 0.1250 0.1250 0.6250
O1 O 0.0394 0.2914 0.8281
```

---

A relaxed Rb2PdSeO crystal, computed with PBE.

* raw formation energy: -223.5 meV/atom
* volume: 40.362 Å³/atom
* theoretical density: 3.064 g cm⁻³
* final energy: -3.34 eV/atom

```
data_Rb2PdSeO
_symmetry_space_group_name_H-M 'P 4/m m m'
_symmetry_Int_Tables_number 123
_symmetry_space_group_name_Hall '-P 4 2'
_cell_length_a 6.5833
_cell_length_b 6.5833
_cell_length_c 4.6564
_cell_angle_alpha 90.00
_cell_angle_beta 90.00
_cell_angle_gamma 90.00
loop_
_atom_site_label
_atom_site_type_symbol
_atom_site_fract_x
_atom_site_fract_y
_atom_site_fract_z
Rb1 Rb 0.0000 0.5000 0.0000
Pd1 Pd 0.0000 0.0000 0.5000
Se1 Se 0.0000 0.0000 0.0000
O1 O 0.5000 0.5000 0.5000
```

---

A relaxed Rb3PdSe2O8 crystal, computed with PBE.

* raw formation energy: -1041.7 meV/atom
* volume: 18.110 Å³/atom
* theoretical density: 4.249 g cm⁻³
* final energy: -4.95 eV/atom

```
data_Rb3PdSe2O8
_symmetry_space_group_name_H-M 'P -3 m 1'
_symmetry_Int_Tables_number 164
_symmetry_space_group_name_Hall '-P 3 2"'
_cell_length_a 6.0700
_cell_length_b 6.0700
_cell_length_c 7.9459
_cell_angle_alpha 90.00
_cell_angle_beta 90.00
_cell_angle_gamma 120.00
loop_
_atom_site_label
_atom_site_type_symbol
_atom_site_fract_x
_atom_site_fract_y
_atom_site_fract_z
Rb1 Rb 0.0000 0.0000 0.0000
Rb2 Rb 0.3333 0.6667 0.6767
Pd1 Pd 0.0000 0.0000 0.5000
Se1 Se 0.3333 0.6667 0.2382
O1 O 0.1811 0.3623 0.3119
O2 O 0.3333 0.6667 0.0289
```

---

A relaxed Rb2SiPdO4 crystal, computed with PBE.

* raw formation energy: -1573.3 meV/atom
* volume: 21.142 Å³/atom
* theoretical density: 3.627 g cm⁻³
* final energy: -5.62 eV/atom

```
data_Rb2SiPdO4
_symmetry_space_group_name_H-M 'F d d d'
_symmetry_Int_Tables_number 70
_cell_length_a 5.5788
_cell_length_b 12.5190
_cell_length_c 19.3736
_cell_angle_alpha 90.00
_cell_angle_beta 90.00
_cell_angle_gamma 90.00
loop_
_symmetry_equiv_pos_as_xyz
'x,y,z'
'-x,-y,-z'
'-x+1/4,-y+1/4,z'
'x+1/4,y+1/4,-z'
'x,-y+1/4,-z+1/4'
'-x,y+1/4,z+1/4'
'-x+1/4,y,-z+1/4'
'x+1/4,-y,z+1/4'
'x,y+1/2,z+1/2'
'-x,-y+1/2,-z+1/2'
'-x+1/4,-y+3/4,z+1/2'
'x+1/4,y+3/4,-z+1/2'
'x,-y+3/4,-z+3/4'
'-x,y+3/4,z+3/4'
'-x+1/4,y+1/2,-z+3/4'
'x+1/4,-y+1/2,z+3/4'
'x+1/2,y,z+1/2'
'-x+1/2,-y,-z+1/2'
'-x+3/4,-y+1/4,z+1/2'
'x+3/4,y+1/4,-z+1/2'
'x+1/2,-y+1/4,-z+3/4'
'-x+1/2,y+1/4,z+3/4'
'-x+3/4,y,-z+3/4'
'x+3/4,-y,z+3/4'
'x+1/2,y+1/2,z'
'-x+1/2,-y+1/2,-z'
'-x+3/4,-y+3/4,z'
'x+3/4,y+3/4,-z'
'x+1/2,-y+3/4,-z+1/4'
'-x+1/2,y+3/4,z+1/4'
'-x+3/4,y+1/2,-z+1/4'
'x+3/4,-y+1/2,z+1/4'
loop_
_atom_site_label
_atom_site_type_symbol
_atom_site_fract_x
_atom_site_fract_y
_atom_site_fract_z
Rb1 Rb 0.1250 0.1250 0.3022
Si1 Si 0.1250 0.1250 0.6250
Pd1 Pd 0.1250 0.1250 0.1250
O1 O 0.0742 0.2864 0.8450
```

---

A relaxed Rb3Sm2PdO6 crystal, computed with PBE.

* raw formation energy: -1913.4 meV/atom
* volume: 17.584 Å³/atom
* theoretical density: 5.977 g cm⁻³
* final energy: -5.85 eV/atom

```
data_Rb3Sm2PdO6
_symmetry_space_group_name_H-M 'C 1 2/m 1'
_symmetry_Int_Tables_number 12
_symmetry_space_group_name_Hall '-C 2y'
_cell_length_a 6.2233
_cell_length_b 10.3514
_cell_length_c 6.9201
_cell_angle_alpha 90.00
_cell_angle_beta 108.80
_cell_angle_gamma 90.00
loop_
_atom_site_label
_atom_site_type_symbol
_atom_site_fract_x
_atom_site_fract_y
_atom_site_fract_z
Rb1 Rb 0.0000 0.0000 0.0000
Rb2 Rb 0.0000 0.3364 0.0000
Sm1 Sm 0.0000 0.1651 0.5000
Pd1 Pd 0.0000 0.5000 0.5000
O1 O 0.2108 0.0000 0.7047
O2 O 0.2151 0.3461 0.6684
```

---

A relaxed RbSm2PdO5 crystal, computed with PBE.

* raw formation energy: -2090.9 meV/atom
* volume: 15.418 Å³/atom
* theoretical density: 6.852 g cm⁻³
* final energy: -6.58 eV/atom

```
data_RbSm2PdO5
_symmetry_space_group_name_H-M 'I 4/m c m'
_symmetry_Int_Tables_number 140
_symmetry_space_group_name_Hall '-I 4 2c'
_cell_length_a 6.7602
_cell_length_b 6.7602
_cell_length_c 12.1452
_cell_angle_alpha 90.00
_cell_angle_beta 90.00
_cell_angle_gamma 90.00
loop_
_atom_site_label
_atom_site_type_symbol
_atom_site_fract_x
_atom_site_fract_y
_atom_site_fract_z
Rb1 Rb 0.0000 0.0000 0.2500
Sm1 Sm 0.1744 0.3256 0.0000
Pd1 Pd 0.0000 0.5000 0.2500
O1 O 0.0000 0.0000 0.0000
O2 O 0.1306 0.3694 0.3831
```

---

A relaxed RbSrPdO2 crystal, computed with PBE.

* raw formation energy: -1295.6 meV/atom
* volume: 24.623 Å³/atom
* theoretical density: 4.201 g cm⁻³
* final energy: -4.85 eV/atom

```
data_RbSrPdO2
_symmetry_space_group_name_H-M 'C m m e'
_symmetry_Int_Tables_number 67
_symmetry_space_group_name_Hall '-C 2a 2'
_cell_length_a 7.4566
_cell_length_b 13.1394
_cell_length_c 5.0264
_cell_angle_alpha 90.00
_cell_angle_beta 90.00
_cell_angle_gamma 90.00
loop_
_atom_site_label
_atom_site_type_symbol
_atom_site_fract_x
_atom_site_fract_y
_atom_site_fract_z
Rb1 Rb 0.0000 0.2500 0.1815
Sr1 Sr 0.2500 0.0000 0.5000
Pd1 Pd 0.0000 0.0000 0.0000
O1 O 0.0000 0.0997 0.7028
```

---

A relaxed Rb2Tb2PdO6 crystal, computed with PBE.

* raw formation energy: -2061.2 meV/atom
* volume: 17.861 Å³/atom
* theoretical density: 5.842 g cm⁻³
* final energy: -6.26 eV/atom

```
data_Rb2Tb2PdO6
_symmetry_space_group_name_H-M 'C 1 2/m 1'
_symmetry_Int_Tables_number 12
_symmetry_space_group_name_Hall '-C 2y'
_cell_length_a 5.8610
_cell_length_b 10.0649
_cell_length_c 6.8934
_cell_angle_alpha 90.00
_cell_angle_beta 104.91
_cell_angle_gamma 90.00
loop_
_atom_site_label
_atom_site_type_symbol
_atom_site_fract_x
_atom_site_fract_y
_atom_site_fract_z
Rb1 Rb 0.0000 0.1628 0.0000
Tb1 Tb 0.0000 0.3351 0.5000
Pd1 Pd 0.0000 0.0000 0.5000
O1 O 0.2035 0.1559 0.6653
O2 O 0.2473 0.5000 0.6676
```

---

A relaxed RbTc2PdO8 crystal, computed with PBE.

* raw formation energy: -1303.0 meV/atom
* volume: 18.589 Å³/atom
* theoretical density: 3.840 g cm⁻³
* final energy: -6.85 eV/atom

```
data_RbTc2PdO8
_symmetry_space_group_name_H-M 'P -3'
_symmetry_Int_Tables_number 147
_symmetry_space_group_name_Hall '-P 3'
_cell_length_a 5.6117
_cell_length_b 5.6117
_cell_length_c 8.1793
_cell_angle_alpha 90.00
_cell_angle_beta 90.00
_cell_angle_gamma 120.00
loop_
_atom_site_label
_atom_site_type_symbol
_atom_site_fract_x
_atom_site_fract_y
_atom_site_fract_z
Rb1 Rb 0.0000 0.0000 0.0000
Tc1 Tc 0.3333 0.6667 0.7311
Pd1 Pd 0.0000 0.0000 0.5000
O1 O 0.0683 0.3446 0.6618
O2 O 0.3333 0.6667 0.9444
```

---

A relaxed Rb2TcPdO4 crystal, computed with PBE.

* raw formation energy: -1163.4 meV/atom
* volume: 19.090 Å³/atom
* theoretical density: 4.777 g cm⁻³
* final energy: -5.83 eV/atom

```
data_Rb2TcPdO4
_symmetry_space_group_name_H-M 'I -4'
_symmetry_Int_Tables_number 82
_symmetry_space_group_name_Hall 'I -4'
_cell_length_a 6.4675
_cell_length_b 6.4675
_cell_length_c 7.3023
_cell_angle_alpha 90.00
_cell_angle_beta 90.00
_cell_angle_gamma 90.00
loop_
_atom_site_label
_atom_site_type_symbol
_atom_site_fract_x
_atom_site_fract_y
_atom_site_fract_z
Rb1 Rb 0.0000 0.0000 0.0000
Rb2 Rb 0.0000 0.5000 0.2500
Tc1 Tc 0.0000 0.5000 0.7500
Pd1 Pd 0.0000 0.0000 0.5000
O1 O 0.1288 0.6970 0.6089
```